Na2ErSiSe4: relaxed, PBE-GGA.

Unit cell a=8.121 b=8.121 c=8.121 alpha=121.79 beta=118.63 gamma=89.66
Fractional positions:
Na: 0.000 0.000 0.000
Na: 0.500 0.000 0.000
Na: 0.500 0.000 0.500
Na: 0.500 0.500 0.500
Er: 0.000 0.500 0.500
Er: 0.500 0.500 0.000
Si: 0.000 0.000 0.500
Si: 0.000 0.500 0.000
Se: 0.213 0.746 0.467
Se: 0.221 0.254 0.967
Se: 0.231 0.237 0.506
Se: 0.231 0.724 0.994
Se: 0.769 0.276 0.006
Se: 0.769 0.763 0.494
Se: 0.779 0.746 0.033
Se: 0.787 0.254 0.533

E_tot: -4.38 eV per atom
D(E_F): 3.5 states/eV/cell
ΔE_f (raw): -1.055 eV/atom